Record 1
! NaCu2Se GGA-PBE optimized geometry; values from VASP
&SYSTEM
  ibrav = 0, nat = 8, ntyp = 3
/
ATOMIC_SPECIES
Na 22.99 Na.upf
Cu 63.55 Cu.upf
Se 78.96 Se.upf
CELL_PARAMETERS angstrom
4.764 0.000 0.000
0.000 4.764 0.000
2.382 2.382 8.377
ATOMIC_POSITIONS crystal
Na 0.500 0.500 0.000
Na 0.250 0.750 0.500
Cu 0.875 0.125 0.250
Cu 0.875 0.625 0.250
Cu 0.375 0.125 0.750
Cu 0.875 0.125 0.750
Se 0.000 0.000 0.000
Se 0.750 0.250 0.500
! Symmetry: I4_1/amd, No. 141
! E (eV per atom): -3.289
! Magnetization (μB/cell): 0.0

Record 2
! Na3Cu4Se4 GGA-PBE optimized geometry; values from VASP
&SYSTEM
  ibrav = 0, nat = 11, ntyp = 3
/
ATOMIC_SPECIES
Na 22.99 Na.upf
Cu 63.55 Cu.upf
Se 78.96 Se.upf
CELL_PARAMETERS angstrom
-3.886 0.739 -0.996
-1.090 -3.740 1.479
0.425 6.862 11.793
ATOMIC_POSITIONS crystal
Na 0.353 0.853 0.707
Na 0.647 0.147 0.293
Na 0.000 0.000 0.000
Cu 0.251 0.251 0.503
Cu 0.106 0.606 0.211
Cu 0.894 0.394 0.789
Cu 0.749 0.749 0.497
Se 0.804 0.304 0.608
Se 0.436 0.436 0.872
Se 0.564 0.564 0.128
Se 0.196 0.696 0.392
! Symmetry: Immm, No. 71
! E (eV per atom): -3.622
! Magnetization (μB/cell): 0.0

Record 3
! NaCuSe2 GGA-PBE optimized geometry; values from VASP
&SYSTEM
  ibrav = 0, nat = 4, ntyp = 3
/
ATOMIC_SPECIES
Na 22.99 Na.upf
Cu 63.55 Cu.upf
Se 78.96 Se.upf
CELL_PARAMETERS angstrom
3.731 0.000 0.000
1.866 3.231 0.000
1.866 1.077 6.949
ATOMIC_POSITIONS crystal
Na 0.500 0.500 0.499
Cu 0.667 0.667 0.000
Se 0.065 0.065 0.806
Se 0.268 0.268 0.195
! Symmetry: R3m, No. 160
! E (eV per atom): -3.430
! Magnetization (μB/cell): 0.0

Record 4
! NaCuSe GGA-PBE optimized geometry; values from VASP
&SYSTEM
  ibrav = 0, nat = 6, ntyp = 3
/
ATOMIC_SPECIES
Na 22.99 Na.upf
Cu 63.55 Cu.upf
Se 78.96 Se.upf
CELL_PARAMETERS angstrom
3.859 0.000 -1.015
0.000 4.104 0.000
-0.063 0.000 7.602
ATOMIC_POSITIONS crystal
Na 0.407 0.250 0.313
Na 0.593 0.750 0.687
Cu 0.249 0.750 0.998
Cu 0.751 0.250 0.002
Se 0.858 0.750 0.215
Se 0.142 0.250 0.785
! Symmetry: Cmcm, No. 63
! E (eV per atom): -3.509
! Magnetization (μB/cell): 0.0

Record 5
! NaCu2Se2 GGA-PBE optimized geometry; values from VASP
&SYSTEM
  ibrav = 0, nat = 5, ntyp = 3
/
ATOMIC_SPECIES
Na 22.99 Na.upf
Cu 63.55 Cu.upf
Se 78.96 Se.upf
CELL_PARAMETERS angstrom
-1.854 2.135 -2.653
1.459 -2.231 -2.816
-5.454 -4.054 -2.285
ATOMIC_POSITIONS crystal
Na 0.000 0.000 0.000
Cu 0.750 0.250 0.500
Cu 0.250 0.750 0.500
Se 0.366 0.366 0.269
Se 0.634 0.634 0.731
! Symmetry: I4/mmm, No. 139
! E (eV per atom): -3.746
! Magnetization (μB/cell): 0.0

Record 6
! Na2Cu2Se3 GGA-PBE optimized geometry; values from VASP
&SYSTEM
  ibrav = 0, nat = 7, ntyp = 3
/
ATOMIC_SPECIES
Na 22.99 Na.upf
Cu 63.55 Cu.upf
Se 78.96 Se.upf
CELL_PARAMETERS angstrom
-2.152 1.539 2.599
-2.852 -0.154 -4.926
-3.071 -7.664 1.848
ATOMIC_POSITIONS crystal
Na 0.866 0.751 0.675
Na 0.134 0.249 0.325
Cu 0.589 0.187 0.835
Cu 0.411 0.813 0.165
Se 0.000 0.000 0.000
Se 0.850 0.683 0.324
Se 0.150 0.317 0.676
! Symmetry: P-1, No. 2
! E (eV per atom): -3.526
! Magnetization (μB/cell): 0.0

Record 7
! NaCu5Se4 GGA-PBE optimized geometry; values from VASP
&SYSTEM
  ibrav = 0, nat = 20, ntyp = 3
/
ATOMIC_SPECIES
Na 22.99 Na.upf
Cu 63.55 Cu.upf
Se 78.96 Se.upf
CELL_PARAMETERS angstrom
5.312 0.000 0.000
0.000 7.926 0.000
0.000 0.000 8.855
ATOMIC_POSITIONS crystal
Na 0.999 0.000 0.000
Na 0.001 0.500 0.500
Cu 0.258 0.763 0.744
Cu 0.258 0.237 0.744
Cu 0.695 0.500 0.000
Cu 0.258 0.763 0.256
Cu 0.258 0.237 0.256
Cu 0.742 0.737 0.244
Cu 0.742 0.263 0.244
Cu 0.305 0.000 0.500
Cu 0.742 0.263 0.756
Cu 0.742 0.737 0.756
Se 0.969 0.000 0.693
Se 0.501 0.777 0.000
Se 0.501 0.223 0.000
Se 0.969 0.000 0.307
Se 0.031 0.500 0.193
Se 0.499 0.723 0.500
Se 0.499 0.277 0.500
Se 0.031 0.500 0.807
! Symmetry: Pmmn, No. 59
! E (eV per atom): -3.763
! Magnetization (μB/cell): 0.0

Record 8
! Na2CuSiSe GGA-PBE optimized geometry; values from VASP
&SYSTEM
  ibrav = 0, nat = 5, ntyp = 4
/
ATOMIC_SPECIES
Na 22.99 Na.upf
Si 28.09 Si.upf
Cu 63.55 Cu.upf
Se 78.96 Se.upf
CELL_PARAMETERS angstrom
5.765 0.000 0.000
0.000 4.716 0.000
0.000 0.000 5.765
ATOMIC_POSITIONS crystal
Na 0.000 0.000 0.500
Na 0.500 0.000 0.000
Si 0.000 0.000 0.000
Cu 0.500 0.500 0.500
Se 0.000 0.500 0.000
! Symmetry: P4/mmm, No. 123
! E (eV per atom): -2.676
! Magnetization (μB/cell): 0.0

Record 9
! NaCu2SnSe4 GGA-PBE optimized geometry; values from VASP
&SYSTEM
  ibrav = 0, nat = 8, ntyp = 4
/
ATOMIC_SPECIES
Na 22.99 Na.upf
Cu 63.55 Cu.upf
Sn 118.71 Sn.upf
Se 78.96 Se.upf
CELL_PARAMETERS angstrom
-4.754 -4.062 3.201
1.687 0.424 6.807
-1.084 5.226 -4.568
ATOMIC_POSITIONS crystal
Na 0.500 0.500 0.000
Cu 0.750 0.250 0.500
Cu 0.250 0.750 0.500
Sn 0.000 0.000 0.000
Se 0.619 0.619 0.531
Se 0.912 0.381 0.000
Se 0.381 0.912 0.000
Se 0.088 0.088 0.469
! Symmetry: I-42m, No. 121
! E (eV per atom): -3.835
! Magnetization (μB/cell): 0.0

Record 10
! NaCuSnSe3 GGA-PBE optimized geometry; values from VASP
&SYSTEM
  ibrav = 0, nat = 12, ntyp = 4
/
ATOMIC_SPECIES
Na 22.99 Na.upf
Cu 63.55 Cu.upf
Sn 118.71 Sn.upf
Se 78.96 Se.upf
CELL_PARAMETERS angstrom
4.005 0.000 0.000
0.000 8.712 0.075
0.000 -2.219 8.442
ATOMIC_POSITIONS crystal
Na 0.250 0.185 0.240
Na 0.750 0.815 0.760
Cu 0.250 0.068 0.574
Cu 0.750 0.932 0.426
Sn 0.250 0.668 0.151
Sn 0.750 0.332 0.849
Se 0.750 0.881 0.130
Se 0.250 0.119 0.870
Se 0.250 0.779 0.474
Se 0.750 0.221 0.526
Se 0.750 0.446 0.171
Se 0.250 0.554 0.829
! Symmetry: P2_1/m, No. 11
! E (eV per atom): -3.829
! Magnetization (μB/cell): 0.0

Record 11
! Na3CuSnSe4 GGA-PBE optimized geometry; values from VASP
&SYSTEM
  ibrav = 0, nat = 36, ntyp = 4
/
ATOMIC_SPECIES
Na 22.99 Na.upf
Cu 63.55 Cu.upf
Sn 118.71 Sn.upf
Se 78.96 Se.upf
CELL_PARAMETERS angstrom
10.279 0.000 0.000
0.000 7.051 0.011
0.000 6.959 13.034
ATOMIC_POSITIONS crystal
Na 0.894 0.746 0.482
Na 0.361 0.810 0.624
Na 0.394 0.254 0.018
Na 0.639 0.190 0.376
Na 0.880 0.406 0.128
Na 0.620 0.406 0.628
Na 0.606 0.746 0.982
Na 0.380 0.594 0.372
Na 0.139 0.810 0.124
Na 0.861 0.190 0.876
Na 0.120 0.594 0.872
Na 0.106 0.254 0.518
Cu 0.604 0.618 0.787
Cu 0.104 0.382 0.713
Cu 0.396 0.382 0.213
Cu 0.896 0.618 0.287
Sn 0.861 0.889 0.695
Sn 0.639 0.889 0.195
Sn 0.361 0.111 0.805
Sn 0.139 0.111 0.305
Se 0.160 0.145 0.900
Se 0.930 0.233 0.359
Se 0.899 0.279 0.660
Se 0.683 0.612 0.384
Se 0.570 0.233 0.859
Se 0.660 0.855 0.600
Se 0.101 0.721 0.340
Se 0.070 0.767 0.641
Se 0.317 0.388 0.616
Se 0.430 0.767 0.141
Se 0.601 0.279 0.160
Se 0.399 0.721 0.840
Se 0.340 0.145 0.400
Se 0.183 0.388 0.116
Se 0.840 0.855 0.100
Se 0.817 0.612 0.884
! Symmetry: P2_1/c, No. 14
! E (eV per atom): -3.629
! Magnetization (μB/cell): 0.0

Record 12
! Na4CuSn3Se8 GGA-PBE optimized geometry; values from VASP
&SYSTEM
  ibrav = 0, nat = 16, ntyp = 4
/
ATOMIC_SPECIES
Na 22.99 Na.upf
Cu 63.55 Cu.upf
Sn 118.71 Sn.upf
Se 78.96 Se.upf
CELL_PARAMETERS angstrom
7.897 0.000 0.000
0.000 8.476 0.309
-3.948 -4.004 5.701
ATOMIC_POSITIONS crystal
Na 0.500 0.000 0.000
Na 0.500 0.000 0.500
Na 0.000 0.000 0.000
Na 0.000 0.000 0.500
Cu 0.000 0.500 0.000
Sn 0.500 0.500 0.000
Sn 0.500 0.500 0.500
Sn 0.000 0.500 0.500
Se 0.225 0.708 0.982
Se 0.247 0.727 0.494
Se 0.257 0.269 0.513
Se 0.757 0.708 0.982
Se 0.243 0.292 0.018
Se 0.743 0.731 0.487
Se 0.753 0.273 0.506
Se 0.775 0.292 0.018
! Symmetry: C2/m, No. 12
! E (eV per atom): -3.694
! Magnetization (μB/cell): 0.0

Ordered ΔE_f (raw) results: -0.040; -0.505; -0.334; -0.542; -0.450; -0.485; -0.189; 0.453; -0.403; -0.517; -0.741; -0.616; unit eV/atom.